(1)
The following is a DFT calculation (PBE-GGA) of a relaxed CaSe crystal.

```
CaSe
1.0
2.389 1.379 10.940
-2.389 1.379 10.940
0.000 -2.759 10.940
Ca Se
2 2
direct
0.086 0.086 0.086
0.914 0.914 0.914
0.419 0.419 0.419
0.581 0.581 0.581
```

Summary:
DFT total energy = -4.16 eV per atom
N(E_F) = 0.00 states/eV/cell
Magnetic moment = 0.00 μB per formula unit



(2)
The following is a DFT calculation (PBE-GGA) of a relaxed Cd3BiPb2 crystal.

```
Cd3BiPb2
1.0
0.000 5.268 9.231
3.489 0.000 9.231
3.489 5.268 0.000
Cd Bi Pb
6 2 4
direct
0.162 0.676 0.324
0.163 0.163 0.837
0.324 0.838 0.162
0.676 0.162 0.838
0.837 0.837 0.163
0.838 0.324 0.676
0.333 0.333 0.667
0.667 0.667 0.333
0.250 0.250 0.250
0.250 0.750 0.750
0.750 0.250 0.250
0.750 0.750 0.750
```

Summary:
DFT total energy = -2.29 eV per atom
Calculated formation energy = 55 meV per atom
N(E_F) = 4.99 states/eV/cell
Offset from the most stable computed form = 0.0062 eV/atom
Magnetic moment = 0.00 μB per formula unit



(3)
The following is a DFT calculation (PBE-GGA) of a relaxed Mg3PtRh2 crystal.

```
Mg3PtRh2
1.0
2.206 -6.615 0.000
2.206 6.615 0.000
0.000 0.000 3.154
Mg Pt Rh
3 1 2
direct
0.000 0.000 0.000
0.331 0.669 0.000
0.669 0.331 0.000
0.500 0.500 0.500
0.165 0.835 0.500
0.835 0.165 0.500
```

Summary:
DFT total energy = -4.88 eV per atom
Calculated formation energy = -627 meV per atom
N(E_F) = 2.67 states/eV/cell
Offset from the most stable computed form = 0.0000 eV/atom
Magnetic moment = 0.00 μB per formula unit



(4)
The following is a DFT calculation (PBE-GGA) of a relaxed Sc3BiPt crystal.

```
Sc3BiPt
1.0
5.317 0.000 0.000
0.000 5.317 0.000
0.000 0.000 5.317
Sc Bi Pt
3 1 1
direct
0.000 0.000 0.500
0.000 0.500 0.000
0.500 0.000 0.000
0.000 0.000 0.000
0.500 0.500 0.500
```

Summary:
DFT total energy = -5.20 eV per atom
Calculated formation energy = 581 meV per atom
N(E_F) = 3.71 states/eV/cell
Offset from the most stable computed form = 1.1241 eV/atom
Magnetic moment = 2.25 μB per formula unit



(5)
The following is a DFT calculation (PBE-GGA) of a relaxed K2HfHgBr6 crystal.

```
K2HfHgBr6
1.0
3.776 2.180 19.573
-3.776 2.180 19.573
0.000 -4.360 19.573
K Hf Hg Br
4 2 2 12
direct
0.148 0.148 0.148
0.315 0.315 0.315
0.685 0.685 0.685
0.852 0.852 0.852
0.000 0.000 0.000
0.500 0.500 0.500
0.416 0.416 0.416
0.584 0.584 0.584
0.148 0.637 0.637
0.189 0.189 0.700
0.189 0.700 0.189
0.300 0.811 0.811
0.363 0.363 0.852
0.363 0.852 0.363
0.637 0.148 0.637
0.637 0.637 0.148
0.700 0.189 0.189
0.811 0.300 0.811
0.811 0.811 0.300
0.852 0.363 0.363
```

Summary:
DFT total energy = -3.65 eV per atom
N(E_F) = 0.00 states/eV/cell
Magnetic moment = 0.00 μB per formula unit



(6)
The following is a DFT calculation (PBE-GGA) of a relaxed MnSb2Se crystal.

```
MnSb2Se
1.0
5.323 -1.816 0.000
5.323 1.816 0.000
-2.066 0.000 4.874
Mn Sb Se
1 2 1
direct
0.000 0.000 0.000
0.553 0.553 0.411
0.722 0.722 0.002
0.376 0.376 0.662
```

Summary:
DFT total energy = -5.22 eV per atom
N(E_F) = 1.71 states/eV/cell
Magnetic moment = 3.16 μB per formula unit



(7)
The following is a DFT calculation (PBE-GGA) of a relaxed SrMnS2 crystal.

```
SrMnS2
1.0
-2.910 2.910 5.559
2.910 -2.910 5.559
2.910 2.910 -5.559
Sr Mn S
2 2 4
direct
0.000 0.000 0.000
0.750 0.250 0.500
0.250 0.750 0.500
0.500 0.500 0.000
0.231 0.625 0.106
0.375 0.481 0.606
0.519 0.125 0.894
0.875 0.769 0.394
```

Summary:
DFT total energy = -5.64 eV per atom
N(E_F) = 7.98 states/eV/cell
Offset from the most stable computed form = 0.4429 eV/atom
Magnetic moment = 0.00 μB per formula unit



(8)
The following is a DFT calculation (PBE-GGA) of a relaxed Ta2PtBr crystal.

```
Ta2PtBr
1.0
1.505 0.869 9.037
-1.505 0.869 9.037
0.000 -1.737 9.037
Ta Pt Br
2 1 1
direct
0.250 0.250 0.250
0.750 0.750 0.750
0.000 0.000 0.000
0.500 0.500 0.500
```

Summary:
DFT total energy = -7.75 eV per atom
N(E_F) = 4.62 states/eV/cell
Offset from the most stable computed form = 0.1892 eV/atom
Magnetic moment = 0.00 μB per formula unit



(9)
The following is a DFT calculation (PBE-GGA) of a relaxed RbNa2CaMg crystal.

```
RbNa2CaMg
1.0
6.138 0.000 0.000
0.000 6.138 0.000
0.000 0.000 6.535
Rb Na Ca Mg
1 2 1 1
direct
0.000 0.000 0.000
0.000 0.500 0.000
0.500 0.000 0.000
0.500 0.500 0.500
0.000 0.000 0.500
```

Summary:
DFT total energy = -0.84 eV per atom
Calculated formation energy = 597 meV per atom
N(E_F) = 3.65 states/eV/cell
Magnetic moment = 0.00 μB per formula unit



(10)
The following is a DFT calculation (PBE-GGA) of a relaxed Ag6Pt5 crystal.

```
Ag6Pt5
1.0
4.518 -2.048 0.000
4.518 2.048 0.000
-2.651 0.000 9.929
Ag Pt
6 5
direct
0.088 0.088 0.140
0.270 0.270 0.411
0.360 0.360 0.047
0.640 0.640 0.953
0.730 0.730 0.589
0.912 0.912 0.860
0.000 0.000 0.500
0.183 0.183 0.764
0.463 0.463 0.681
0.537 0.537 0.319
0.817 0.817 0.236
```

Summary:
DFT total energy = -4.26 eV per atom
Calculated formation energy = 45 meV per atom
N(E_F) = 8.97 states/eV/cell
Offset from the most stable computed form = 0.0498 eV/atom
Magnetic moment = 0.00 μB per formula unit



(11)
The following is a DFT calculation (PBE-GGA) of a relaxed Fe2CoCu crystal.

```
Fe2CoCu
1.0
-1.446 2.018 4.013
1.446 -2.018 4.013
1.446 2.018 -4.013
Fe Co Cu
2 1 1
direct
0.000 0.000 0.000
0.753 0.253 0.500
0.240 0.740 0.500
0.497 0.497 0.000
```

Summary:
DFT total energy = -6.93 eV per atom
Calculated formation energy = 106 meV per atom
N(E_F) = 2.97 states/eV/cell
Offset from the most stable computed form = 0.0393 eV/atom
Magnetic moment = 6.88 μB per formula unit



(12)
The following is a DFT calculation (PBE-GGA) of a relaxed KPaPtSe4 crystal.

```
KPaPtSe4
1.0
7.169 0.000 0.000
0.000 5.812 0.000
-2.912 0.000 8.903
K Pa Pt Se
2 2 2 8
direct
0.234 0.250 0.054
0.766 0.750 0.946
0.274 0.250 0.552
0.726 0.750 0.448
0.257 0.750 0.318
0.743 0.250 0.682
0.030 0.508 0.702
0.030 0.992 0.702
0.425 0.750 0.596
0.469 0.750 0.157
0.531 0.250 0.843
0.575 0.250 0.404
0.970 0.008 0.298
0.970 0.492 0.298
```

Summary:
DFT total energy = -5.32 eV per atom
N(E_F) = 11.73 states/eV/cell
Magnetic moment = 0.00 μB per formula unit



(13)
The following is a DFT calculation (PBE-GGA) of a relaxed Ac3C4ClO12 crystal.

```
Ac3C4ClO12
1.0
5.164 2.981 3.646
-5.164 2.981 3.646
0.000 -5.963 3.646
Ac C Cl O
3 4 1 12
direct
0.000 0.527 0.473
0.473 0.000 0.527
0.527 0.473 0.000
0.007 0.500 0.993
0.500 0.500 0.500
0.500 0.993 0.007
0.993 0.007 0.500
0.000 0.000 0.000
0.056 0.186 0.501
0.120 0.880 0.500
0.186 0.501 0.056
0.375 0.625 0.500
0.499 0.814 0.944
0.500 0.120 0.880
0.500 0.375 0.625
0.501 0.056 0.186
0.625 0.500 0.375
0.814 0.944 0.499
0.880 0.500 0.120
0.944 0.499 0.814
```

Summary:
DFT total energy = -7.72 eV per atom
N(E_F) = 0.00 states/eV/cell
Magnetic moment = 0.15 μB per formula unit



(14)
The following is a DFT calculation (PBE-GGA) of a relaxed Tb8Tl2Os crystal.

```
Tb8Tl2Os
1.0
9.254 -2.641 0.000
9.254 2.641 0.000
-2.579 0.000 6.430
Tb Tl Os
8 2 1
direct
0.016 0.016 0.241
0.202 0.202 0.104
0.353 0.353 0.668
0.409 0.409 0.247
0.591 0.591 0.753
0.647 0.647 0.332
0.798 0.798 0.896
0.984 0.984 0.759
0.175 0.175 0.633
0.825 0.825 0.367
0.500 0.500 0.000
```

Summary:
DFT total energy = -5.01 eV per atom
Calculated formation energy = -191 meV per atom
N(E_F) = 10.26 states/eV/cell
Magnetic moment = 0.00 μB per formula unit



(15)
The following is a DFT calculation (PBE-GGA) of a relaxed SiB crystal.

```
SiB
1.0
0.000 4.287 4.299
3.472 0.000 4.299
3.472 4.287 0.000
Si B
4 4
direct
0.033 0.033 0.717
0.283 0.283 0.967
0.717 0.717 0.033
0.967 0.967 0.283
0.062 0.688 0.062
0.312 0.938 0.312
0.688 0.062 0.688
0.938 0.312 0.938
```

Summary:
DFT total energy = -5.46 eV per atom
N(E_F) = 2.23 states/eV/cell
Offset from the most stable computed form = 0.3885 eV/atom
Magnetic moment = 0.00 μB per formula unit



(16)
The following is a DFT calculation (PBE-GGA) of a relaxed MnCuS2 crystal.

```
MnCuS2
1.0
3.548 0.000 0.000
0.000 3.548 0.000
0.000 0.000 4.929
Mn Cu S
1 1 2
direct
0.000 0.000 0.000
0.500 0.500 0.500
0.000 0.000 0.500
0.500 0.500 0.000
```

Summary:
DFT total energy = -5.70 eV per atom
N(E_F) = 1.99 states/eV/cell
Magnetic moment = 4.39 μB per formula unit



(17)
The following is a DFT calculation (PBE-GGA) of a relaxed ZnCuTe2 crystal.

```
ZnCuTe2
1.0
3.653 -2.110 0.000
3.653 2.110 0.000
-0.002 0.000 7.123
Zn Cu Te
1 1 2
direct
0.000 0.000 0.000
0.668 0.668 0.492
0.001 0.001 0.372
0.667 0.667 0.855
```

Summary:
DFT total energy = -3.13 eV per atom
N(E_F) = 2.08 states/eV/cell
Offset from the most stable computed form = 0.0086 eV/atom
Magnetic moment = 0.00 μB per formula unit